Computed, not measured: an optimized crystal structure of Rb2MoF7 at the PBE with a Hubbard U level of DFT.

ρ: 3.18 Mg/m³
E above lowest polymorph: 266 meV/atom
DOS at the Fermi energy: 1.146 states/eV/atom

Cell: 6.781 6.781 9.090 Å, 90.00 90.00 90.00°
Space group I4/mmm (No. 139)
One atom of each set of equivalent atoms:
Rb: 0.000 0.500 0.250
Mo: 0.000 0.000 0.000
F: 0.000 0.000 0.210
F: 0.000 0.000 0.500
F: 0.204 0.204 0.000